Density functional theory data (GGA-PBE) for Al2CoTc after structural relaxation.

The calculation puts the energy above the most stable polymorph in this dataset at 213 meV per atom. The value obtained for the total energy is -6.447 eV/atom. As for the magnetization: 1.4 μB/cell. The calculation puts the volume at 108 Å³/cell. The calculation puts the energy of formation at -20.1 kJ per mole of atoms.

The structure belongs to space group C2/m (No. 12); the cell edges are 5.408, 8.006 and 2.682 Å and the angles 90.00°, 111.55° and 90.00°. The asymmetric unit holds Al at (0.250, 0.250, 0.000), Co at (0.000, 0.000, 0.500) and Tc at (0.000, 0.500, 0.500).